Computed, not measured: crystalline KLiTa4 at its relaxed geometry at the PBE-GGA level of DFT.

Lattice parameters (Å, degrees): 5.7271 5.7271 5.7271 60.00 60.00 60.00
Last column: nearest neighbours and their distance in Å.
Atoms (fractional coordinates):
K  0.0000  0.0000  0.0000  12 Ta 3.36, 4 Li 3.51
Li  0.7500  0.7500  0.7500  12 Ta 3.36, 4 K 3.51
Ta  0.3757  0.3757  0.3757  6 Ta 2.85-2.88
Ta  0.3757  0.3757  0.8729  6 Ta 2.85-2.88
Ta  0.3757  0.8729  0.3757  6 Ta 2.85-2.88
Ta  0.8729  0.3757  0.3757  6 Ta 2.85-2.88

## Properties
The calculation puts the formation energy at 1102 meV per atom. For the total energy, the calculation gives -7.30 eV per atom. For the density of states at the Fermi level, the calculation gives 7.22 states/eV/f.u. The total magnetization is 0.00 Bohr magnetons per cell.